Entry 1:
The following is a PBE-GGA calculation of Dy2CoSi4Pt3 after structural relaxation, from Alexandria.

Geometry as CIF:
```
data_Dy2CoSi4Pt3
_chemical_formula_sum 'Dy2 Co1 Si4 Pt3'
_cell_length_a 4.105
_cell_length_b 4.105
_cell_length_c 9.962
_cell_angle_alpha 90.00
_cell_angle_beta 90.00
_cell_angle_gamma 90.00
_space_group_name_H-M_alt 'P -4 m 2'
_space_group_IT_number 115
loop_
_space_group_symop_operation_xyz
'x,y,z'
'y,-x,-z'
'-x,-y,z'
'-y,x,-z'
'-x,y,z'
'-y,-x,-z'
'x,-y,z'
'y,x,-z'
loop_
_atom_site_label
_atom_site_fract_x
_atom_site_fract_y
_atom_site_fract_z
Dy1 0.000 0.500 0.246
Co1 0.500 0.500 0.000
Si1 0.000 0.000 0.500
Si2 0.000 0.500 0.873
Si3 0.500 0.500 0.500
Pt1 0.000 0.000 0.000
Pt2 0.000 0.500 0.630
```

Formation energy from raw total energies (eV/atom): -1.0222


Entry 2:
The following is a PBE-GGA calculation of TbDyCoPt after structural relaxation, from Alexandria.

Geometry as CIF:
```
data_TbDyCoPt
_chemical_formula_sum 'Tb4 Dy4 Co4 Pt4'
_cell_length_a 6.860
_cell_length_b 6.860
_cell_length_c 6.860
_cell_angle_alpha 90.00
_cell_angle_beta 90.00
_cell_angle_gamma 90.00
_space_group_name_H-M_alt 'F -4 3 m'
_space_group_IT_number 216
_space_group_name_Hall 'F -4 2 3'
loop_
_atom_site_label
_atom_site_fract_x
_atom_site_fract_y
_atom_site_fract_z
Tb1 0.000 0.000 0.000
Dy1 0.000 0.000 0.500
Co1 0.250 0.250 0.250
Pt1 0.250 0.250 0.750
```

Formation energy from the elements (eV/atom): -0.65


Entry 3:
The following is a PBE-GGA calculation of Dy2Th2CoPt2 after structural relaxation, from Alexandria.

Geometry as CIF:
```
data_Dy2Th2CoPt2
_chemical_formula_sum 'Dy4 Th4 Co2 Pt4'
_cell_length_a 13.889
_cell_length_b 4.042
_cell_length_c 6.932
_cell_angle_alpha 90.00
_cell_angle_beta 115.79
_cell_angle_gamma 90.00
_space_group_name_H-M_alt 'C 1 2/m 1'
_space_group_IT_number 12
loop_
_space_group_symop_operation_xyz
'x,y,z'
'-x,-y,-z'
'-x,y,-z'
'x,-y,z'
'x+1/2,y+1/2,z'
'-x+1/2,-y+1/2,-z'
'-x+1/2,y+1/2,-z'
'x+1/2,-y+1/2,z'
loop_
_atom_site_label
_atom_site_fract_x
_atom_site_fract_y
_atom_site_fract_z
Dy1 0.018 0.000 0.254
Th1 0.211 0.500 0.731
Co1 0.000 0.500 0.500
Pt1 0.126 0.500 0.066
```

Formation energy from the elements (eV/atom): -0.71


no.,density of states at the Fermi level (states/eV per cell)
1,3.801
2,7.267
3,10.064